Density functional theory data (SCAN) for a PBEsol-optimized structure of MnBiMo3.

Lattice parameters (Å, degrees): 4.4913 4.4913 4.4913 90.00 90.00 90.00
Space group Pm-3m (No. 221)
Symmetry-distinct sites (fractional):
Mn 0.0000 0.0000 0.0000 (multiplicity 1)
Bi 0.5000 0.5000 0.5000 (multiplicity 1)
Mo 0.0000 0.0000 0.5000 (multiplicity 3)

Calculated values
ΔH_f (0 K)	1.116	eV/atom


Density functional theory data (SCAN) for a PBEsol-optimized structure of MnBi2TeMo.

Lattice parameters (Å, degrees): 5.8617 5.8617 4.7268 90.00 90.00 90.00
Space group P4/mmm (No. 123)
Symmetry-distinct sites (fractional):
Mn 0.0000 0.0000 0.0000 (multiplicity 1)
Bi 0.0000 0.5000 0.5000 (multiplicity 2)
Te 0.0000 0.0000 0.5000 (multiplicity 1)
Mo 0.5000 0.5000 0.0000 (multiplicity 1)

Calculated values
ΔE_f (raw)	1.332	eV per atom


Density functional theory data (SCAN) for a PBEsol-optimized structure of MnBi2N.

Lattice parameters (Å, degrees): 6.1332 6.1332 9.9653 90.00 90.00 90.00
Space group I-42d (No. 122)
Symmetry-distinct sites (fractional):
Mn 0.0000 0.0000 0.0000 (multiplicity 4)
Bi 0.1999 0.2500 0.6250 (multiplicity 8)
N 0.0000 0.0000 0.5000 (multiplicity 4)

Calculated values
ΔE_f (raw)	0.742	eV per atom


Density functional theory data (SCAN) for a PBEsol-optimized structure of MnBiSeN2.

Lattice parameters (Å, degrees): 4.1917 4.1917 5.7768 90.00 90.00 90.00
Space group P4/mmm (No. 123)
Symmetry-distinct sites (fractional):
Mn 0.0000 0.0000 0.0000 (multiplicity 1)
Bi 0.5000 0.5000 0.5000 (multiplicity 1)
Se 0.5000 0.5000 0.0000 (multiplicity 1)
N 0.0000 0.5000 0.5000 (multiplicity 2)

Calculated values
ΔE_f (raw)	1.370	eV per atom


Density functional theory data (SCAN) for a PBEsol-optimized structure of Na2MnBi.

Lattice parameters (Å, degrees): 8.7373 8.7373 5.5940 90.00 90.00 90.00
Space group I-42d (No. 122)
Symmetry-distinct sites (fractional):
Na 0.2427 0.7500 0.1250 (multiplicity 8)
Mn 0.0000 0.0000 0.0000 (multiplicity 4)
Bi 0.0000 0.0000 0.5000 (multiplicity 4)

Calculated values
ΔH_f (0 K)	0.177	eV/atom


Density functional theory data (SCAN) for a PBEsol-optimized structure of NaMn3Bi.

Lattice parameters (Å, degrees): 4.7020 4.7020 4.7020 90.00 90.00 90.00
Space group Pm-3m (No. 221)
Symmetry-distinct sites (fractional):
Na 0.0000 0.0000 0.0000 (multiplicity 1)
Mn 0.0000 0.0000 0.5000 (multiplicity 3)
Bi 0.5000 0.5000 0.5000 (multiplicity 1)

Calculated values
ΔH_f (0 K)	1.101	eV/atom


Density functional theory data (SCAN) for a PBEsol-optimized structure of MnNb2ReBi.

Lattice parameters (Å, degrees): 4.5022 4.5022 4.7002 90.00 90.00 90.00
Space group P4/mmm (No. 123)
Symmetry-distinct sites (fractional):
Mn 0.0000 0.0000 0.0000 (multiplicity 1)
Nb 0.0000 0.5000 0.0000 (multiplicity 2)
Re 0.5000 0.5000 0.5000 (multiplicity 1)
Bi 0.0000 0.0000 0.5000 (multiplicity 1)

Calculated values
ΔH_f (0 K)	1.350	eV/atom


Density functional theory data (SCAN) for a PBEsol-optimized structure of MnNi2Bi2.

Lattice parameters (Å, degrees): 3.4336 3.4336 15.7404 90.00 90.00 90.00
Space group I4/mmm (No. 139)
Symmetry-distinct sites (fractional):
Mn 0.0000 0.0000 0.0000 (multiplicity 2)
Ni 0.0000 0.5000 0.2500 (multiplicity 4)
Bi 0.0000 0.0000 0.3818 (multiplicity 4)

Calculated values
ΔH_f (0 K)	0.282	eV/atom


Copy entry 3 word for word.
Density functional theory data (SCAN) for a PBEsol-optimized structure of MnBi2N.

Lattice parameters (Å, degrees): 6.1332 6.1332 9.9653 90.00 90.00 90.00
Space group I-42d (No. 122)
Symmetry-distinct sites (fractional):
Mn 0.0000 0.0000 0.0000 (multiplicity 4)
Bi 0.1999 0.2500 0.6250 (multiplicity 8)
N 0.0000 0.0000 0.5000 (multiplicity 4)

Calculated values
ΔE_f (raw)	0.742	eV per atom


What is the formula in the seventh record?
MnNb2ReBi